Compound: CrPS2O
Source: Alexandria
Functional: PBE with a Hubbard U
Structure: relaxed

a = 4.260 Å, b = 4.260 Å, c = 4.595 Å
α = 90.00°, β = 90.00°, γ = 90.00°
Fractional coordinates of all 5 atoms:
1 S 0.000 0.500 0.000
2 S 0.500 0.000 0.000
3 Cr 0.000 0.000 0.000
4 P 0.000 0.000 0.500
5 O 0.500 0.500 0.500

Summary:
* E above lowest polymorph: 574 meV per atom
* spin magnetization: 0.0 μB per formula unit
* raw total energy: -20.37 eV/cell